[1]
First-principles (GGA-PBE) data for an optimized crystal structure of Sr2MgAl4Cd3, as listed in Alexandria.

Cell lengths 4.5010, 4.5010, 12.1572 Å; angles 90.00, 90.00, 90.00 degrees
Space group P-4m2 (No. 115)
One atom of each set of equivalent atoms:
Sr 0.0000 0.5000 0.2486 x2
Mg 0.0000 0.0000 0.5000 x1
Al 0.0000 0.0000 0.0000 x1
Al 0.0000 0.5000 0.6401 x2
Al 0.5000 0.5000 0.0000 x1
Cd 0.0000 0.5000 0.8625 x2
Cd 0.5000 0.5000 0.5000 x1

- D(E_F) (states/eV/atom) = 0.58
- ΔH_f (0 K) (meV/atom) = -176

=====

[2]
First-principles (GGA-PBE) data for an optimized crystal structure of Ac2TiN3, as listed in Alexandria.

Cell lengths 3.7837, 4.1031, 13.4917 Å; angles 90.00, 90.00, 90.00 degrees
Space group Immm (No. 71)
One atom of each set of equivalent atoms:
Ac 0.0000 0.0000 0.1474 x4
Ti 0.0000 0.0000 0.5000 x2
N 0.0000 0.0000 0.3461 x4
N 0.0000 0.5000 0.5000 x2

- D(E_F) (states/eV/atom) = 0.21
- distance to the lowest polymorph of the same formula (meV/atom) = 106.5

=====

[3]
First-principles (GGA-PBE) data for an optimized crystal structure of BaYCuN2, as listed in Alexandria.

Cell lengths 4.5558, 4.5558, 5.2282 Å; angles 90.00, 90.00, 90.00 degrees
Space group P4/mmm (No. 123)
One atom of each set of equivalent atoms:
Ba 0.0000 0.0000 0.0000 x1
Y 0.5000 0.5000 0.5000 x1
Cu 0.5000 0.5000 0.0000 x1
N 0.0000 0.5000 0.5000 x2

- D(E_F) (states/eV/atom) = 0.67
- energy (eV/atom) = -5.5872

=====

[4]
First-principles (GGA-PBE) data for an optimized crystal structure of Tb2Pr2Au3, as listed in Alexandria.

Cell lengths 9.1289, 9.1289, 9.1289 Å; angles 90.00, 90.00, 90.00 degrees
Space group I2_13 (No. 199)
One atom of each set of equivalent atoms:
Tb 0.1819 0.3181 0.6819 x8
Pr 0.0728 0.0728 0.0728 x8
Au 0.0000 0.2500 0.3899 x12

- D(E_F) (states/eV/atom) = 1.26
- ΔH_f (0 K) (meV/atom) = -623

=====

[5]
First-principles (GGA-PBE) data for an optimized crystal structure of SnHgBiPb2, as listed in Alexandria.

Cell lengths 9.9323, 9.4654, 6.9696 Å; angles 90.00, 90.00, 90.00 degrees
Space group Cmcm (No. 63)
One atom of each set of equivalent atoms:
Sn 0.0000 0.1777 0.2500 x4
Hg 0.0000 0.4815 0.2500 x4
Bi 0.0000 0.1977 0.7500 x4
Pb 0.2249 0.0000 0.0000 x8

- D(E_F) (states/eV/atom) = 0.59
- ΔH_f (0 K) (meV/atom) = 115

=====

[6]
First-principles (GGA-PBE) data for an optimized crystal structure of K2InSI, as listed in Alexandria.

Cell lengths 5.9013, 5.9013, 6.2250 Å; angles 90.00, 90.00, 90.00 degrees
Space group P4/mmm (No. 123)
One atom of each set of equivalent atoms:
K 0.0000 0.5000 0.0000 x2
In 0.0000 0.0000 0.5000 x1
S 0.5000 0.5000 0.0000 x1
I 0.5000 0.5000 0.5000 x1

- D(E_F) (states/eV/atom) = 0.48
- energy (eV/atom) = -2.4547

=====

[7]
First-principles (GGA-PBE) data for an optimized crystal structure of TiFeH2, as listed in Alexandria.

Cell lengths 2.8146, 4.7107, 4.5545 Å; angles 90.00, 90.00, 90.00 degrees
Space group Pmc2_1 (No. 26)
One atom of each set of equivalent atoms:
Ti 0.0000 0.2041 0.0000 x2
Fe 0.5000 0.3094 0.4932 x2
H 0.0000 0.4212 0.6492 x2
H 0.5000 0.0078 0.2532 x2

- D(E_F) (states/eV/atom) = 0.54
- distance to the lowest polymorph of the same formula (meV/atom) = 41.5

=====

[8]
First-principles (GGA-PBE) data for an optimized crystal structure of TbErCdGa, as listed in Alexandria.

Cell lengths 3.6173, 3.6173, 7.4237 Å; angles 90.00, 90.00, 90.00 degrees
Space group P4mm (No. 99)
One atom of each set of equivalent atoms:
Tb 0.0000 0.0000 0.0000 x1
Er 0.0000 0.0000 0.5311 x1
Cd 0.5000 0.5000 0.2718 x1
Ga 0.5000 0.5000 0.7606 x1

- D(E_F) (states/eV/atom) = 0.58
- ΔH_f (0 K) (meV/atom) = -458
- distance to the lowest polymorph of the same formula (meV/atom) = 0.0